Entry 1:
Entry from Alexandria: a relaxed InWSe2 crystal (PBE-GGA).

Properties
For the mass density, the calculation gives 7.31 g/cm3. The crystal system is tetragonal. The value obtained for the uncorrected formation energy is 0.139 eV per atom. The value obtained for the calculated total energy is -5.53 eV per atom.

a b c (Å): 8.575 8.575 6.687
angles (deg): 50.12 50.12 90.00
Element x y z (fractional)
In 0.250 0.750 0.500
In 0.500 0.500 0.000
Se 0.993 0.625 0.250
Se 0.757 0.125 0.250
Se 0.875 0.007 0.750
Se 0.375 0.243 0.750
W 0.000 0.000 0.000
W 0.750 0.250 0.500

=====

Entry 2:
Entry from Alexandria: a relaxed InWSe2 crystal (PBE-GGA).

Properties
For the mass density, the calculation gives 9.25 g/cm3. The crystal system is monoclinic. The value obtained for the uncorrected formation energy is 0.290 eV per atom. The value obtained for the calculated total energy is -5.38 eV per atom.

a b c (Å): 5.021 3.485 4.993
angles (deg): 69.74 90.00 90.00
Element x y z (fractional)
In 0.500 0.709 0.706
Se 0.500 0.423 0.275
Se 0.000 0.034 0.059
W 0.000 0.335 0.460

=====

Entry 3:
Entry from Alexandria: a relaxed InW4Se7 crystal (PBE-GGA).

Properties
For the mass density, the calculation gives 7.96 g/cm3. The crystal system is orthorhombic. The value obtained for the uncorrected formation energy is 0.069 eV per atom. The value obtained for the calculated total energy is -6.51 eV per atom.

a b c (Å): 4.917 7.075 16.831
angles (deg): 90.00 90.00 90.00
Element x y z (fractional)
Se 0.513 0.793 0.225
Se 0.513 0.291 0.614
Se 0.513 0.321 0.129
Se 0.513 0.962 0.000
Se 0.513 0.291 0.386
Se 0.513 0.793 0.775
Se 0.013 0.679 0.629
Se 0.513 0.321 0.871
Se 0.013 0.207 0.275
Se 0.013 0.679 0.371
Se 0.013 0.709 0.886
Se 0.013 0.038 0.500
Se 0.013 0.709 0.114
Se 0.013 0.207 0.725
W 0.013 0.860 0.252
W 0.013 0.860 0.748
W 0.513 0.648 0.929
W 0.513 0.140 0.248
W 0.013 0.352 0.571
W 0.513 0.648 0.071
W 0.013 0.352 0.429
W 0.513 0.140 0.752
In 0.514 0.793 0.500
In 0.013 0.207 0.000